No. 1
# ThMn2NbH6 | the Alexandria database | PBE | relaxed
# Fermi-level density of states (states/eV per atom): 0.41
# Final energy (eV for the cell shown): -58.8
# SG: No. 166
data_ThMn2NbH6
_chemical_formula_sum 'Th1 Mn2 Nb1 H6'
_cell_length_a 4.4065
_cell_length_b 4.4065
_cell_length_c 5.9062
_cell_angle_alpha 68.10
_cell_angle_beta 68.10
_cell_angle_gamma 60.00
_space_group_name_H-M_alt 'P 1'
_space_group_IT_number 1
_space_group_name_Hall 'P 1'
loop_
_atom_site_label
_atom_site_fract_x
_atom_site_fract_y
_atom_site_fract_z
_atom_site_occupancy
Mn1 0.7943 0.7943 0.6172 1
Mn2 0.2057 0.2057 0.3828 1
H1 0.9209 0.4418 0.1956 1
H2 0.5583 0.0791 0.8044 1
H3 0.4418 0.4417 0.1956 1
H4 0.0791 0.5582 0.8044 1
H5 0.5582 0.5583 0.8044 1
H6 0.4417 0.9209 0.1956 1
Th1 0.0000 0.0000 0.0000 1
Nb1 0.5000 0.5000 0.5000 1

---

No. 2
# Mg2Cu2Pd | the Alexandria database | PBE | relaxed
# Fermi-level density of states (states/eV per atom): 0.36
# Final energy (eV for the cell shown): -15.7
# Energy relative to the elements (eV per atom): 0.1807
# Excess energy over the best structure of this formula in the dataset (eV/f.u.): 2.37
# SG: No. 139
data_Mg2Cu2Pd
_chemical_formula_sum 'Mg2 Cu2 Pd1'
_cell_length_a 3.9881
_cell_length_b 3.9881
_cell_length_c 6.0594
_cell_angle_alpha 70.79
_cell_angle_beta 70.79
_cell_angle_gamma 90.00
_space_group_name_H-M_alt 'P 1'
_space_group_IT_number 1
_space_group_name_Hall 'P 1'
loop_
_atom_site_label
_atom_site_fract_x
_atom_site_fract_y
_atom_site_fract_z
_atom_site_occupancy
Pd1 0.0000 0.0000 0.0000 1
Cu1 0.3970 0.3970 0.2060 1
Cu2 0.6030 0.6030 0.7940 1
Mg1 0.7500 0.2500 0.5000 1
Mg2 0.2500 0.7500 0.5000 1

---

No. 3
# GaCu5 | the Alexandria database | PBE | relaxed
# Fermi-level density of states (states/eV per atom): 0.31
# Final energy (eV for the cell shown): -23.9
# Energy relative to the elements (eV per atom): -0.0673
# SG: No. 12
data_GaCu5
_chemical_formula_sum 'Ga1 Cu5'
_cell_length_a 3.7610
_cell_length_b 4.4756
_cell_length_c 5.1305
_cell_angle_alpha 106.21
_cell_angle_beta 90.00
_cell_angle_gamma 114.84
_space_group_name_H-M_alt 'P 1'
_space_group_IT_number 1
_space_group_name_Hall 'P 1'
loop_
_atom_site_label
_atom_site_fract_x
_atom_site_fract_y
_atom_site_fract_z
_atom_site_occupancy
Cu1 0.3343 0.6685 0.6639 1
Cu2 0.0000 0.0000 0.5000 1
Cu3 0.3324 0.6648 0.1700 1
Cu4 0.6676 0.3352 0.8300 1
Cu5 0.6657 0.3315 0.3361 1
Ga1 0.0000 0.0000 0.0000 1

---

No. 4
# SmHo5Er2Sc | the Alexandria database | PBE | relaxed
# Fermi-level density of states (states/eV per atom): 1.66
# Final energy (eV for the cell shown): -83.0
# Energy relative to the elements (eV per atom): 0.1727
# SG: No. 36
data_SmHo5Er2Sc
_chemical_formula_sum 'Sm2 Ho10 Er4 Sc2'
_cell_length_a 5.5235
_cell_length_b 10.2015
_cell_length_c 10.3348
_cell_angle_alpha 90.00
_cell_angle_beta 90.00
_cell_angle_gamma 105.71
_space_group_name_H-M_alt 'P 1'
_space_group_IT_number 1
_space_group_name_Hall 'P 1'
loop_
_atom_site_label
_atom_site_fract_x
_atom_site_fract_y
_atom_site_fract_z
_atom_site_occupancy
Ho1 0.0182 0.0364 0.0194 1
Ho2 0.5192 0.0384 0.2389 1
Ho3 0.6221 0.2441 0.5210 1
Ho4 0.3779 0.7559 0.0210 1
Ho5 0.7231 0.4462 0.8207 1
Ho6 0.9818 0.9636 0.5194 1
Ho7 0.2989 0.5978 0.7057 1
Ho8 0.7011 0.4022 0.2057 1
Ho9 0.2769 0.5538 0.3207 1
Ho10 0.4808 0.9616 0.7389 1
Er1 0.1136 0.2272 0.7362 1
Er2 0.1115 0.2229 0.3138 1
Er3 0.8864 0.7728 0.2362 1
Er4 0.8885 0.7771 0.8138 1
Sm1 0.5878 0.1756 0.9538 1
Sm2 0.4122 0.8244 0.4538 1
Sc1 0.8040 0.6080 0.5145 1
Sc2 0.1960 0.3920 0.0145 1

---

No. 5
# NdPdO4 | the Alexandria database | PBE | relaxed
# Fermi-level density of states (states/eV per atom): 0.40
# Final energy (eV for the cell shown): -76.6
# SG: No. 15
data_NdPdO4
_chemical_formula_sum 'Nd2 Pd2 O8'
_cell_length_a 6.1749
_cell_length_b 6.8902
_cell_length_c 5.7102
_cell_angle_alpha 109.66
_cell_angle_beta 104.06
_cell_angle_gamma 119.57
_space_group_name_H-M_alt 'P 1'
_space_group_IT_number 1
_space_group_name_Hall 'P 1'
loop_
_atom_site_label
_atom_site_fract_x
_atom_site_fract_y
_atom_site_fract_z
_atom_site_occupancy
Nd1 0.3940 0.6440 0.2879 1
Nd2 0.6060 0.3560 0.7121 1
O1 0.6263 0.1164 0.2873 1
O2 0.1610 0.1709 0.2873 1
O3 0.4885 0.3580 0.0691 1
O4 0.5115 0.6420 0.9309 1
O5 0.8390 0.8291 0.7127 1
O6 0.3737 0.8836 0.7127 1
O7 0.9194 0.2888 0.9309 1
O8 0.0806 0.7112 0.0691 1
Pd1 0.2470 0.9970 0.9939 1
Pd2 0.7530 0.0030 0.0061 1

---

No. 6
# Zr6TcIr5 | the Alexandria database | PBE | relaxed
# Fermi-level density of states (states/eV per atom): 0.66
# Final energy (eV for the cell shown): -114.9
# Energy relative to the elements (eV per atom): -0.7475
# SG: No. 10
data_Zr6TcIr5
_chemical_formula_sum 'Zr6 Tc1 Ir5'
_cell_length_a 4.6938
_cell_length_b 6.5777
_cell_length_c 7.2516
_cell_angle_alpha 90.00
_cell_angle_beta 104.74
_cell_angle_gamma 90.00
_space_group_name_H-M_alt 'P 1'
_space_group_IT_number 1
_space_group_name_Hall 'P 1'
loop_
_atom_site_label
_atom_site_fract_x
_atom_site_fract_y
_atom_site_fract_z
_atom_site_occupancy
Ir1 0.0000 0.5000 0.0000 1
Ir2 0.6519 0.5000 0.3311 1
Ir3 0.3641 0.0000 0.6786 1
Ir4 0.6359 0.0000 0.3214 1
Ir5 0.3481 0.5000 0.6689 1
Zr1 0.5000 0.7501 0.0000 1
Zr2 0.8452 0.2481 0.6654 1
Zr3 0.8452 0.7519 0.6654 1
Zr4 0.1548 0.7519 0.3346 1
Zr5 0.5000 0.2499 0.0000 1
Zr6 0.1548 0.2481 0.3346 1
Tc1 0.0000 0.0000 0.0000 1

---

No. 7
# TaZnSeBr2 | the Alexandria database | PBE | relaxed
# Fermi-level density of states (states/eV per atom): 0.78
# Final energy (eV for the cell shown): -16.5
# Excess energy over the best structure of this formula in the dataset (eV/f.u.): 4.11
# SG: No. 123
data_TaZnSeBr2
_chemical_formula_sum 'Ta1 Zn1 Se1 Br2'
_cell_length_a 4.9120
_cell_length_b 4.9120
_cell_length_c 5.1121
_cell_angle_alpha 90.00
_cell_angle_beta 90.00
_cell_angle_gamma 90.00
_space_group_name_H-M_alt 'P 1'
_space_group_IT_number 1
_space_group_name_Hall 'P 1'
loop_
_atom_site_label
_atom_site_fract_x
_atom_site_fract_y
_atom_site_fract_z
_atom_site_occupancy
Zn1 0.0000 0.0000 0.0000 1
Se1 0.0000 0.0000 0.5000 1
Br1 0.0000 0.5000 0.0000 1
Br2 0.5000 0.0000 0.0000 1
Ta1 0.5000 0.5000 0.5000 1

---

No. 8
# Mn2NbFe2 | the Alexandria database | PBE | relaxed
# Fermi-level density of states (states/eV per atom): 1.15
# Final energy (eV for the cell shown): -88.6
# Energy relative to the elements (eV per atom): 0.2084
# Excess energy over the best structure of this formula in the dataset (eV/f.u.): 0.55
# SG: No. 139
data_Mn2NbFe2
_chemical_formula_sum 'Mn4 Nb2 Fe4'
_cell_length_a 3.6651
_cell_length_b 3.6651
_cell_length_c 9.9430
_cell_angle_alpha 100.62
_cell_angle_beta 100.62
_cell_angle_gamma 90.00
_space_group_name_H-M_alt 'P 1'
_space_group_IT_number 1
_space_group_name_Hall 'P 1'
loop_
_atom_site_label
_atom_site_fract_x
_atom_site_fract_y
_atom_site_fract_z
_atom_site_occupancy
Nb1 0.3775 0.3775 0.7550 1
Nb2 0.6225 0.6225 0.2450 1
Fe1 0.5000 0.0000 0.0000 1
Fe2 0.8194 0.8194 0.6389 1
Fe3 0.0000 0.5000 0.0000 1
Fe4 0.1806 0.1806 0.3611 1
Mn1 0.9270 0.9270 0.8541 1
Mn2 0.2500 0.7500 0.5000 1
Mn3 0.7500 0.2500 0.5000 1
Mn4 0.0730 0.0730 0.1459 1

---

No. 9
# Pm2PbN | the Alexandria database | PBE | relaxed
# Fermi-level density of states (states/eV per atom): 0.45
# Final energy (eV for the cell shown): -49.1
# Excess energy over the best structure of this formula in the dataset (eV/f.u.): 0.96
# SG: No. 47
data_Pm2PbN
_chemical_formula_sum 'Pm4 Pb2 N2'
_cell_length_a 4.6345
_cell_length_b 7.2010
_cell_length_c 6.7453
_cell_angle_alpha 90.00
_cell_angle_beta 90.00
_cell_angle_gamma 90.00
_space_group_name_H-M_alt 'P 1'
_space_group_IT_number 1
_space_group_name_Hall 'P 1'
loop_
_atom_site_label
_atom_site_fract_x
_atom_site_fract_y
_atom_site_fract_z
_atom_site_occupancy
Pb1 0.0000 0.9999 0.2500 1
Pb2 0.0000 0.0001 0.7500 1
N1 0.5000 0.5000 0.2500 1
N2 0.5000 0.5000 0.7500 1
Pm1 0.5000 0.7295 0.5000 1
Pm2 0.5000 0.2705 0.5000 1
Pm3 0.5000 0.7295 0.0000 1
Pm4 0.5000 0.2705 0.0000 1